[1]
The following is a PBE calculation of crystalline PrSmC2 at its relaxed geometry, from Alexandria.

```
data_PrSmC2
_chemical_formula_sum 'Pr3 Sm3 C6'
_space_group_name_H-M_alt 'R -3 m'
_space_group_IT_number 166
_space_group_name_Hall '-R 3 2"'
_cell_length_a 3.7627
_cell_length_b 3.7627
_cell_length_c 18.4062
_cell_angle_alpha 90.00
_cell_angle_beta 90.00
_cell_angle_gamma 120.00
loop_
_atom_site_label
_atom_site_type_symbol
_atom_site_fract_x
_atom_site_fract_y
_atom_site_fract_z
_atom_site_occupancy
Pr1 Pr 0.0000 0.0000 0.0000 1
Sm1 Sm 0.0000 0.0000 0.5000 1
C1 C 0.0000 0.0000 0.2476 1
```

Results
ρ: 6.96 g/cm3
DFT total energy: -80.24 eV/cell
N(E_F): 6.9 states/eV/f.u.


[2]
The following is a PBE calculation of crystalline PrSm3C8 at its relaxed geometry, from Alexandria.

```
data_PrSm3C8
_chemical_formula_sum 'Pr4 Sm12 C32'
_space_group_name_H-M_alt 'F m m 2'
_space_group_IT_number 42
_space_group_name_Hall 'F 2 -2'
_cell_length_a 10.038
_cell_length_b 10.047
_cell_length_c 7.965
_cell_angle_alpha 90.00
_cell_angle_beta 90.00
_cell_angle_gamma 90.00
loop_
_atom_site_label
_atom_site_type_symbol
_atom_site_fract_x
_atom_site_fract_y
_atom_site_fract_z
_atom_site_occupancy
Pr1 Pr 0.000 0.000 0.000 1
Sm1 Sm 0.000 0.000 0.500 1
Sm2 Sm 0.250 0.250 0.249 1
C1 C 0.000 0.168 0.753 1
C2 C 0.000 0.235 0.360 1
C3 C 0.168 0.000 0.247 1
C4 C 0.235 0.000 0.641 1
```

Results
ρ: 5.69 g/cm3
DFT total energy: -363.48 eV/cell
N(E_F): 3.7 states/eV/f.u.


[3]
The following is a PBE calculation of crystalline PrSm3C at its relaxed geometry, from Alexandria.

```
data_PrSm3C
_chemical_formula_sum 'Pr1 Sm3 C1'
_space_group_name_H-M_alt 'P m -3 m'
_space_group_IT_number 221
_space_group_name_Hall '-P 4 2 3'
_cell_length_a 5.193
_cell_length_b 5.193
_cell_length_c 5.193
_cell_angle_alpha 90.00
_cell_angle_beta 90.00
_cell_angle_gamma 90.00
loop_
_atom_site_label
_atom_site_type_symbol
_atom_site_fract_x
_atom_site_fract_y
_atom_site_fract_z
_atom_site_occupancy
Pr1 Pr 0.000 0.000 0.000 1
Sm1 Sm 0.000 0.500 0.500 1
C1 C 0.500 0.500 0.500 1
```

Results
ρ: 7.16 g/cm3
DFT total energy: -27.86 eV/cell
N(E_F): 6.2 states/eV/f.u.


[4]
The following is a PBE calculation of crystalline Pr2Sm4C at its relaxed geometry, from Alexandria.

```
data_Pr2Sm4C
_chemical_formula_sum 'Pr4 Sm8 C2'
_space_group_name_H-M_alt 'I 4/m m m'
_space_group_IT_number 139
_space_group_name_Hall '-I 4 2'
_cell_length_a 5.009
_cell_length_b 5.009
_cell_length_c 17.984
_cell_angle_alpha 90.00
_cell_angle_beta 90.00
_cell_angle_gamma 90.00
loop_
_atom_site_label
_atom_site_type_symbol
_atom_site_fract_x
_atom_site_fract_y
_atom_site_fract_z
_atom_site_occupancy
Pr1 Pr 0.000 0.000 0.176 1
Sm1 Sm 0.000 0.000 0.365 1
Sm2 Sm 0.000 0.500 0.000 1
C1 C 0.000 0.000 0.500 1
```

Results
ρ: 6.59 g/cm3
DFT total energy: -73.38 eV/cell
N(E_F): 7.7 states/eV/f.u.


[5]
The following is a PBE calculation of crystalline Pr2Sm4C at its relaxed geometry, from Alexandria.

```
data_Pr2Sm4C
_chemical_formula_sum 'Pr6 Sm12 C3'
_space_group_name_H-M_alt 'R -3 m'
_space_group_IT_number 166
_space_group_name_Hall '-R 3 2"'
_cell_length_a 3.6696
_cell_length_b 3.6696
_cell_length_c 55.6368
_cell_angle_alpha 90.00
_cell_angle_beta 90.00
_cell_angle_gamma 120.00
loop_
_atom_site_label
_atom_site_type_symbol
_atom_site_fract_x
_atom_site_fract_y
_atom_site_fract_z
_atom_site_occupancy
Pr1 Pr 0.0000 0.0000 0.2453 1
Sm1 Sm 0.0000 0.0000 0.1398 1
Sm2 Sm 0.0000 0.0000 0.3584 1
C1 C 0.0000 0.0000 0.0000 1
```

Results
ρ: 6.87 g/cm3
DFT total energy: -114.10 eV/cell
N(E_F): 7.9 states/eV/f.u.


[6]
The following is a PBE calculation of crystalline Pr2SmC at its relaxed geometry, from Alexandria.

```
data_Pr2SmC
_chemical_formula_sum 'Pr6 Sm3 C3'
_space_group_name_H-M_alt 'R -3 m'
_space_group_IT_number 166
_space_group_name_Hall '-R 3 2"'
_cell_length_a 3.6607
_cell_length_b 3.6607
_cell_length_c 30.4663
_cell_angle_alpha 90.00
_cell_angle_beta 90.00
_cell_angle_gamma 120.00
loop_
_atom_site_label
_atom_site_type_symbol
_atom_site_fract_x
_atom_site_fract_y
_atom_site_fract_z
_atom_site_occupancy
Pr1 Pr 0.0000 0.0000 0.1194 1
Sm1 Sm 0.0000 0.0000 0.0000 1
C1 C 0.0000 0.0000 0.5000 1
```

Results
ρ: 6.26 g/cm3
DFT total energy: -69.58 eV/cell
N(E_F): 3.5 states/eV/f.u.


[7]
The following is a PBE calculation of crystalline PrSm2Tc2C4 at its relaxed geometry, from Alexandria.

```
data_PrSm2Tc2C4
_chemical_formula_sum 'Pr2 Sm4 Tc4 C8'
_space_group_name_H-M_alt 'C 1 2/m 1'
_space_group_IT_number 12
_cell_length_a 16.509
_cell_length_b 3.551
_cell_length_c 5.681
_cell_angle_alpha 90.00
_cell_angle_beta 95.23
_cell_angle_gamma 90.00
loop_
_space_group_symop_operation_xyz
'x,y,z'
'-x,-y,-z'
'-x,y,-z'
'x,-y,z'
'x+1/2,y+1/2,z'
'-x+1/2,-y+1/2,-z'
'-x+1/2,y+1/2,-z'
'x+1/2,-y+1/2,z'
loop_
_atom_site_label
_atom_site_type_symbol
_atom_site_fract_x
_atom_site_fract_y
_atom_site_fract_z
_atom_site_occupancy
Pr1 Pr 0.000 0.000 0.000 1
Sm1 Sm 0.157 0.000 0.572 1
Tc1 Tc 0.190 0.500 0.052 1
C1 C 0.094 0.500 0.854 1
C2 C 0.231 0.000 0.213 1
```

Results
ρ: 6.87 g/cm3
DFT total energy: -143.71 eV/cell
N(E_F): 5.9 states/eV/f.u.


[8]
The following is a PBE calculation of crystalline Pr4Sn2C at its relaxed geometry, from Alexandria.

```
data_Pr4Sn2C
_chemical_formula_sum 'Pr8 Sn4 C2'
_space_group_name_H-M_alt 'P 1 21/m 1'
_space_group_IT_number 11
_cell_length_a 6.895
_cell_length_b 6.949
_cell_length_c 9.645
_cell_angle_alpha 90.00
_cell_angle_beta 110.76
_cell_angle_gamma 90.00
loop_
_space_group_symop_operation_xyz
'x,y,z'
'-x,-y,-z'
'-x,y+1/2,-z'
'x,-y+1/2,z'
loop_
_atom_site_label
_atom_site_type_symbol
_atom_site_fract_x
_atom_site_fract_y
_atom_site_fract_z
_atom_site_occupancy
Pr1 Pr 0.009 0.002 0.268 1
Pr2 Pr 0.393 0.250 0.065 1
Pr3 Pr 0.433 0.250 0.649 1
Sn1 Sn 0.193 0.750 0.039 1
Sn2 Sn 0.296 0.750 0.577 1
C1 C 0.228 0.250 0.803 1
```

Results
ρ: 6.25 g/cm3
DFT total energy: -78.77 eV/cell
N(E_F): 1.3 states/eV/f.u.